# Na2CoO3

Na2CoO3 after structural relaxation (GGA+U, the Alexandria database).

Cell: 5.2214 9.0232 5.6655 Å, 90.00 108.96 90.00°
Closest atoms and distances in Å follow each position.
Space group C2/m (No. 12)
One atom of each set of equivalent atoms:
Na (0.0000, 0.0000, 0.0000) [2 per cell]  6 O 2.25-2.26
Na (0.0000, 0.1568, 0.5000) [4 per cell]  6 O 2.24-2.50
Na (0.0000, 0.5000, 0.5000) [2 per cell]  6 O 2.23-2.49
Co (0.0000, 0.3291, 0.0000) [4 per cell]  6 O 1.88-1.98
O (0.1878, 0.5000, 0.1978) [4 per cell]  2 Co 1.97
O (0.2479, 0.3075, 0.8025) [8 per cell]  2 Co 1.88-1.98

Output
**Crystal system**: monoclinic
**M_tot**: 1.00 μB per formula unit
**VASP energy**: -118.82 eV per cell